! TbTl2InBr6 | Alexandria via LeMat-Bulk | PBE | optimized geometry; values from VASP
! symmetry: R3
! total magnetization: 0.0 μB per formula unit
! energy relative to the elements, uncorrected: -1239 meV per atom
! final energy: -3.45 eV/atom
&SYSTEM
  ibrav = 0, nat = 10, ntyp = 4
/
ATOMIC_SPECIES
Tb 158.93 Tb.upf
Tl 204.38 Tl.upf
In 114.82 In.upf
Br 79.90 Br.upf
CELL_PARAMETERS angstrom
-7.827 2.214 0.625
-4.566 0.800 -6.714
-5.992 -5.701 -1.565
ATOMIC_POSITIONS crystal
Tb 0.323 0.323 0.030
Tl 0.530 0.529 0.411
Tl 0.019 0.019 0.942
In 0.814 0.814 0.558
Br 0.563 0.201 0.248
Br 0.201 0.988 0.248
Br 0.988 0.563 0.248
Br 0.434 0.668 0.776
Br 0.668 0.121 0.777
Br 0.121 0.434 0.777